Entry from the Alexandria database: VOsW2 after structural relaxation (PBE).

a = 2.761 Å, b = 2.761 Å, c = 9.760 Å
α = 81.87°, β = 81.87°, γ = 60.00°
Element x y z (fractional)
W  0.588  0.588  0.235
V  0.500  0.500  0.500
Os  0.000  0.000  0.000
W  0.412  0.412  0.765

- final energy (Ry/atom) = -0.8109
- energy above the lowest structure with this stoichiometry (meV per atom) = 527
- Fermi-level density of states (states/eV/atom) = 1.049
- M_tot (μB per cell) = 0.0
- calculated formation energy (eV per atom) = 0.53

Entry from the Alexandria database: Sm10In3Sb3 after structural relaxation (PBE).

a = 6.695 Å, b = 9.180 Å, c = 9.180 Å
α = 120.00°, β = 90.00°, γ = 90.00°
Element x y z (fractional)
Sm  0.249  0.667  0.333
Sm  0.500  0.238  0.238
Sm  0.751  0.333  0.667
Sm  0.500  0.762  0.000
Sm  0.000  0.240  0.000
Sm  0.751  0.667  0.333
Sm  0.000  0.000  0.240
Sm  0.249  0.333  0.667
In  0.500  0.603  0.603
In  0.500  0.000  0.397
Sm  0.000  0.760  0.760
Sb  0.000  0.392  0.392
Sb  0.000  0.000  0.608
In  0.500  0.397  0.000
Sm  0.500  0.000  0.762
Sb  0.000  0.608  0.000

- final energy (Ry/atom) = -0.3602
- Fermi-level density of states (states/eV/atom) = 1.073
- M_tot (μB per cell) = 0.0
- E_form (uncorrected) (eV/atom) = -0.665

Copy entry 1 word for word.
Entry from the Alexandria database: VOsW2 after structural relaxation (PBE).

a = 2.761 Å, b = 2.761 Å, c = 9.760 Å
α = 81.87°, β = 81.87°, γ = 60.00°
Element x y z (fractional)
W  0.588  0.588  0.235
V  0.500  0.500  0.500
Os  0.000  0.000  0.000
W  0.412  0.412  0.765

- final energy (Ry/atom) = -0.8109
- energy above the lowest structure with this stoichiometry (meV per atom) = 527
- Fermi-level density of states (states/eV/atom) = 1.049
- M_tot (μB per cell) = 0.0
- calculated formation energy (eV per atom) = 0.53